{"formula": "SrMnGa3", "functional": "PBEsol", "state": "relaxed", "dft_energy_ev_per_cell": -23.3, "formation_enthalpy_0k_mev_per_atom": -338, "lattice_angstrom": [[4.622, 0.000, 0.000], [0.000, 4.622, 0.000], [0.000, 0.000, 4.622]], "species": ["Sr", "Mn", "Ga", "Ga", "Ga"], "fractional_positions": [[0.000, 0.000, 0.000], [0.500, 0.500, 0.500], [0.000, 0.500, 0.500], [0.500, 0.000, 0.500], [0.500, 0.500, 0.000]]}

=====

{"formula": "MgTlPt2", "functional": "PBEsol", "state": "relaxed", "dft_energy_ev_per_cell": -38.9, "formation_enthalpy_0k_mev_per_atom": -296, "lattice_angstrom": [[9.952, 0.000, 0.000], [0.000, 2.980, 0.000], [-1.122, 0.000, 4.678]], "species": ["Mg", "Mg", "Tl", "Tl", "Pt", "Pt", "Pt", "Pt"], "fractional_positions": [[0.000, 0.000, 0.000], [0.500, 0.500, 0.000], [0.221, 0.000, 0.639], [0.721, 0.500, 0.639], [0.244, 0.500, 0.145], [0.474, 0.000, 0.480], [0.744, 0.000, 0.145], [0.974, 0.500, 0.480]]}

=====

{"formula": "MnNi2Cl", "functional": "PBEsol", "state": "relaxed", "dft_energy_ev_per_cell": -44.4, "e_above_lowest_polymorph_mev_per_atom": 254, "lattice_angstrom": [[4.970, 0.000, 0.000], [0.000, 7.161, 0.000], [0.000, 0.000, 2.811]], "species": ["Mn", "Mn", "Ni", "Ni", "Ni", "Ni", "Cl", "Cl"], "fractional_positions": [[0.000, 0.000, 0.000], [0.500, 0.500, 0.000], [0.250, 0.250, 0.500], [0.250, 0.750, 0.500], [0.750, 0.250, 0.500], [0.750, 0.750, 0.500], [0.000, 0.500, 0.000], [0.500, 0.000, 0.000]]}

=====

| no. | DOS(E_F) (states/eV/f.u.) |
| --- | --- |
| 1 | 1.22 |
| 2 | 1.50 |
| 3 | 3.23 |